Below is CrBiN2F after structural relaxation, with properties calculated at the PBE with a Hubbard U level.

Calculated values
Distance to the lowest polymorph of the same formula = 0.800 eV/atom

Lattice parameters (Å, degrees): 4.352 4.352 4.393 90.00 90.00 90.00
Element x y z (fractional)
Cr 0.000 0.000 0.000
Bi 0.500 0.500 0.500
N 0.000 0.500 0.500
N 0.500 0.000 0.500
F 0.500 0.500 0.000